1.
PmPrZn, relaxed, DFT PBE-GGA; formation energy from the elements = -0.17 eV/f.u.; distance to the lowest polymorph of the same formula = 140 meV per atom; VASP energy = -0.134 Ha/atom; SG = P3m1, No. 156
1.0
5.064 0.000 0.000
-2.532 4.385 0.000
0.000 0.000 3.808
Pm Pr Zn
1 1 1
Cartesian
0.000 0.000 0.000 Pm
2.532 1.462 1.644 Pr
0.000 2.924 2.796 Zn


2.
Li2HgRu, relaxed, DFT PBE-GGA; formation energy from the elements = 0.44 eV/f.u.; VASP energy = -0.119 Ha/atom; SG = R-3m, No. 166
1.0
1.421 0.820 9.302
-1.421 0.820 9.302
0.000 -1.641 9.302
Li Hg Ru
2 1 1
Cartesian
0.000 0.000 6.762 Li
0.000 0.000 21.145 Li
0.000 0.000 0.000 Hg
0.000 0.000 13.954 Ru


Asked for magnetic moment across the records above, the calculation gives 0.00, 0.36 μB per formula unit in order.